[1]
This record from OQMD describes a geometry-optimized TbNiSn2 structure. The functional is PBE.

```
data_TbNiSn2
_symmetry_space_group_name_H-M 'P n m a'
_symmetry_Int_Tables_number 62
_cell_length_a 16.152
_cell_length_b 4.456
_cell_length_c 14.666
_cell_angle_alpha 90.00
_cell_angle_beta 90.00
_cell_angle_gamma 90.00
loop_
_symmetry_equiv_pos_as_xyz
'x,y,z'
'-x,-y,-z'
'-x+1/2,-y,z+1/2'
'x+1/2,y,-z+1/2'
'x+1/2,-y+1/2,-z+1/2'
'-x+1/2,y+1/2,z+1/2'
'-x,y+1/2,-z'
'x,-y+1/2,z'
loop_
_atom_site_label
_atom_site_type_symbol
_atom_site_fract_x
_atom_site_fract_y
_atom_site_fract_z
Tb1 Tb 0.127 0.250 0.228
Tb2 Tb 0.145 0.750 0.605
Tb3 Tb 0.150 0.250 0.971
Ni1 Ni 0.052 0.750 0.105
Ni2 Ni 0.195 0.250 0.746
Ni3 Ni 0.201 0.250 0.453
Sn1 Sn 0.020 0.750 0.921
Sn2 Sn 0.032 0.250 0.739
Sn3 Sn 0.044 0.250 0.450
Sn4 Sn 0.175 0.750 0.370
Sn5 Sn 0.184 0.750 0.823
Sn6 Sn 0.214 0.750 0.104
```

Properties
VASP energy in eV per atom: -5.14

[2]
This record from OQMD describes a geometry-optimized Pm2NdAg3 structure. The functional is PBE.

```
data_Pm2NdAg3
_symmetry_space_group_name_H-M 'P 4/m m m'
_symmetry_Int_Tables_number 123
_symmetry_space_group_name_Hall '-P 4 2'
_cell_length_a 3.714
_cell_length_b 3.714
_cell_length_c 11.243
_cell_angle_alpha 90.00
_cell_angle_beta 90.00
_cell_angle_gamma 90.00
loop_
_atom_site_label
_atom_site_type_symbol
_atom_site_fract_x
_atom_site_fract_y
_atom_site_fract_z
Pm1 Pm 0.000 0.000 0.166
Nd1 Nd 0.000 0.000 0.500
Ag1 Ag 0.500 0.500 0.000
Ag2 Ag 0.500 0.500 0.330
```

Properties
ΔE_f in meV/atom: -278

[3]
This record from OQMD describes a geometry-optimized TbCoNiGe2 structure. The functional is PBE.

```
data_TbCoNiGe2
_symmetry_space_group_name_H-M 'I -4 m 2'
_symmetry_Int_Tables_number 119
_symmetry_space_group_name_Hall 'I -4 -2'
_cell_length_a 4.029
_cell_length_b 4.029
_cell_length_c 9.979
_cell_angle_alpha 90.00
_cell_angle_beta 90.00
_cell_angle_gamma 90.00
loop_
_atom_site_label
_atom_site_type_symbol
_atom_site_fract_x
_atom_site_fract_y
_atom_site_fract_z
Tb1 Tb 0.000 0.000 0.000
Co1 Co 0.000 0.500 0.750
Ni1 Ni 0.000 0.500 0.250
Ge1 Ge 0.000 0.000 0.372
```

Properties
VASP energy in eV per atom: -5.95

Spin magnetization, respectively: 0.00 0.03 1.19 μB per formula unit.